Li2ScMo PBE relaxed; formation energy from the elements = 0.33 eV per atom; uncorrected energy = -4.916 eV/atom
1.0
6.000 0.004 0.001
3.444 4.913 -0.001
-4.119 -3.617 2.440
Li Mo Sc
2 1 1
Direct
0.014 0.014 0.000
0.486 0.486 0.000
0.250 0.750 0.500
0.750 0.250 0.500


Sm4SnPt2 PBE relaxed; formation energy from the elements = -0.77 eV per atom; uncorrected energy = -5.764 eV/atom
1.0
8.067 -1.153 -0.162
-1.732 7.962 0.162
-3.043 -3.521 6.812
Sm Sn Pt
8 2 4
Direct
0.923 0.235 0.322
0.328 0.515 0.178
0.912 0.600 0.678
0.765 0.078 0.678
0.400 0.088 0.322
0.338 0.150 0.822
0.485 0.672 0.822
0.850 0.662 0.178
0.250 0.750 0.500
0.000 0.000 0.000
0.625 0.375 0.750
0.625 0.875 0.250
0.625 0.375 0.250
0.125 0.375 0.750


ScPPt2 PBE relaxed; formation energy from the elements = -0.84 eV per atom; uncorrected energy = -6.793 eV/atom
1.0
-4.487 0.853 2.061
-3.481 0.401 -3.581
3.396 -3.300 1.638
Sc P Pt
1 1 2
Direct
0.529 0.529 0.000
0.777 0.277 0.500
0.960 0.960 0.000
0.234 0.734 0.500


In2AgRu PBE relaxed; formation energy from the elements = 0.08 eV per atom; uncorrected energy = -4.321 eV/atom
1.0
-1.123 -5.029 1.582
2.163 -4.793 1.183
0.568 -0.167 4.585
Ag In Ru
1 2 1
Direct
0.242 0.242 0.206
0.997 0.997 0.050
0.765 0.765 0.681
0.496 0.496 0.563


NaLiN2 PBE relaxed; formation energy (no corrections) = 1160 meV/atom; uncorrected energy = -3.811 eV/atom
1.0
1.787 -3.333 -0.649
-1.507 -3.274 1.317
-1.507 -2.540 -2.449
Na Li N
1 1 2
Direct
0.500 0.500 0.500
0.000 0.000 0.000
0.250 0.250 0.250
0.750 0.750 0.750


CsHIr3 PBE relaxed; uncorrected energy = -2.478 eV/atom
1.0
5.101 0.000 0.000
0.000 5.101 0.000
0.000 0.000 5.101
Cs H Ir
1 1 3
Direct
0.000 0.000 0.000
0.500 0.500 0.500
0.000 0.500 0.000
0.000 0.000 0.500
0.500 0.000 0.000


TbPm2Ho PBE relaxed; formation energy from the elements = 0.02 eV per atom; uncorrected energy = -4.661 eV/atom
1.0
-1.116 3.425 -0.333
-1.277 -1.002 -6.041
-9.212 -4.132 8.015
Tb Pm Ho
2 4 2
Direct
0.293 0.856 0.071
0.793 0.356 0.071
0.167 0.982 0.821
0.918 0.899 0.321
0.417 0.399 0.321
0.667 0.482 0.821
0.542 0.938 0.570
0.042 0.438 0.570


HPt2Pb PBE relaxed; uncorrected energy = -4.489 eV/atom
1.0
-1.901 2.168 -0.925
-2.986 -0.504 -0.002
-2.098 3.309 7.115
Pb H Pt
1 1 2
Direct
0.000 0.000 0.000
0.500 0.500 0.500
0.117 0.117 0.649
0.883 0.883 0.351


Number 3 is which compound? ScPPt2


What is the uncorrected energy in the third record? -6.793 eV/atom